[1]
{
  "formula": "SrCd2Se",
  "functional": "GGA-PBE",
  "state": "optimized geometry",
  "cell": [[0.0000, 3.0346, 6.6011], [3.0124, 0.0000, 6.6011], [3.0124, 3.0346, 0.0000]],
  "species": ["Sr", "Cd", "Cd", "Se"],
  "fractional_positions": [[0.0000, 0.0000, 0.0000], [0.0000, 0.5000, 0.0000], [0.5000, 0.0000, 0.5000], [0.5000, 0.5000, 0.5000]],
  "e_form_raw_kj_per_mol_fu": -289,
  "spacegroup": "Fmmm",
  "magnetic_moment_mub_per_cell": 0.0,
  "mass_density_g_cm3": 5.39,
  "energy_ev_per_atom": -2.4981
}

***

[2]
{
  "formula": "Sr3CdSe",
  "functional": "GGA-PBE",
  "state": "optimized geometry",
  "cell": [[5.9489, 0.0000, 0.0000], [0.0000, 5.9489, 0.0000], [0.0000, 0.0000, 5.9489]],
  "species": ["Sr", "Sr", "Sr", "Cd", "Se"],
  "fractional_positions": [[0.0000, 0.0000, 0.5000], [0.0000, 0.5000, 0.0000], [0.5000, 0.0000, 0.0000], [0.5000, 0.5000, 0.5000], [0.0000, 0.0000, 0.0000]],
  "de_polymorph_mev_per_atom": 0.0,
  "e_form_raw_kj_per_mol_fu": -343,
  "spacegroup": "Pm-3m",
  "magnetic_moment_mub_per_cell": 0.0,
  "mass_density_g_cm3": 3.58,
  "energy_ev_per_atom": -2.6000
}

***

[3]
{
  "formula": "Sr2CdSe",
  "functional": "GGA-PBE",
  "state": "optimized geometry",
  "cell": [[-4.2662, 4.2662, 4.1648], [4.2662, -4.2662, 4.1648], [4.2662, 4.2662, -4.1648]],
  "species": ["Sr", "Sr", "Sr", "Sr", "Cd", "Cd", "Se", "Se"],
  "fractional_positions": [[0.0900, 0.6250, 0.9650], [0.3750, 0.3400, 0.4650], [0.6600, 0.1250, 0.0350], [0.8750, 0.9100, 0.5350], [0.2500, 0.7500, 0.5000], [0.5000, 0.5000, 0.0000], [0.0000, 0.0000, 0.0000], [0.7500, 0.2500, 0.5000]],
  "de_polymorph_mev_per_atom": 180.8,
  "e_form_raw_kj_per_mol_fu": -329,
  "spacegroup": "I-42d",
  "magnetic_moment_mub_per_cell": 0.0,
  "mass_density_g_cm3": 4.02,
  "energy_ev_per_atom": -2.7920
}

***

[4]
{
  "formula": "SrCd2Se",
  "functional": "GGA-PBE",
  "state": "optimized geometry",
  "cell": [[-4.4596, 4.4596, 2.9594], [4.4596, -4.4596, 2.9594], [4.4596, 4.4596, -2.9594]],
  "species": ["Sr", "Sr", "Cd", "Cd", "Cd", "Cd", "Se", "Se"],
  "fractional_positions": [[0.0000, 0.0000, 0.0000], [0.7500, 0.2500, 0.5000], [0.1688, 0.6250, 0.0438], [0.3750, 0.4188, 0.5438], [0.5812, 0.1250, 0.9562], [0.8750, 0.8312, 0.4562], [0.2500, 0.7500, 0.5000], [0.5000, 0.5000, 0.0000]],
  "e_form_raw_kj_per_mol_fu": -242,
  "spacegroup": "I-42d",
  "magnetic_moment_mub_per_cell": 0.0,
  "mass_density_g_cm3": 5.52,
  "energy_ev_per_atom": -2.3772
}

***

[5]
{
  "formula": "SrCdSe2",
  "functional": "GGA-PBE",
  "state": "optimized geometry",
  "cell": [[-2.0946, 2.0946, 6.2448], [2.0946, -2.0946, 6.2448], [2.0946, 2.0946, -6.2448]],
  "species": ["Sr", "Cd", "Se", "Se"],
  "fractional_positions": [[0.0000, 0.0000, 0.0000], [0.2500, 0.7500, 0.5000], [0.5000, 0.5000, 0.0000], [0.7500, 0.2500, 0.5000]],
  "e_form_raw_kj_per_mol_fu": -353,
  "spacegroup": "I-4m2",
  "magnetic_moment_mub_per_cell": 0.0,
  "mass_density_g_cm3": 5.42,
  "energy_ev_per_atom": -3.3062
}

***

[6]
{
  "formula": "SrCdSe2",
  "functional": "GGA-PBE",
  "state": "optimized geometry",
  "cell": [[0.0000, 3.7306, 3.7306], [3.7306, 0.0000, 3.7306], [3.7306, 3.7306, 0.0000]],
  "species": ["Sr", "Cd", "Se", "Se"],
  "fractional_positions": [[0.0000, 0.0000, 0.0000], [0.7500, 0.7500, 0.7500], [0.2500, 0.2500, 0.2500], [0.5000, 0.5000, 0.5000]],
  "e_form_raw_kj_per_mol_fu": -194,
  "spacegroup": "F-43m",
  "magnetic_moment_mub_per_cell": 0.0,
  "mass_density_g_cm3": 5.72,
  "energy_ev_per_atom": -2.8934
}

***

[7]
{
  "formula": "Sr2CdSe2",
  "functional": "GGA-PBE",
  "state": "optimized geometry",
  "cell": [[-2.8910, 2.8910, 6.2395], [2.8910, -2.8910, 6.2395], [2.8910, 2.8910, -6.2395]],
  "species": ["Sr", "Sr", "Cd", "Se", "Se"],
  "fractional_positions": [[0.2500, 0.7500, 0.5000], [0.7500, 0.2500, 0.5000], [0.0000, 0.0000, 0.0000], [0.3220, 0.3220, 0.0000], [0.6780, 0.6780, 0.0000]],
  "de_polymorph_mev_per_atom": 153.3,
  "e_form_raw_kj_per_mol_fu": -586,
  "spacegroup": "I4/mmm",
  "magnetic_moment_mub_per_cell": 0.0,
  "mass_density_g_cm3": 3.55,
  "energy_ev_per_atom": -3.4638
}

***

[8]
{
  "formula": "SrCd2Se",
  "functional": "GGA-PBE",
  "state": "optimized geometry",
  "cell": [[-2.3751, 2.7755, 4.2784], [2.3751, -2.7755, 4.2784], [2.3751, 2.7755, -4.2784]],
  "species": ["Sr", "Cd", "Cd", "Se"],
  "fractional_positions": [[0.0000, 0.0000, 0.0000], [0.2728, 0.7728, 0.5000], [0.5160, 0.5160, 0.0000], [0.7406, 0.2406, 0.5000]],
  "e_form_raw_kj_per_mol_fu": -219,
  "spacegroup": "Imm2",
  "magnetic_moment_mub_per_cell": 0.0,
  "mass_density_g_cm3": 5.76,
  "energy_ev_per_atom": -2.3156
}

***

[9]
{
  "formula": "Sr2CdSe",
  "functional": "GGA-PBE",
  "state": "optimized geometry",
  "cell": [[3.9459, 0.0000, 0.0000], [0.0000, 3.9251, 0.0000], [-0.0104, 0.0000, 7.9163]],
  "species": ["Sr", "Sr", "Cd", "Se"],
  "fractional_positions": [[0.0007, 0.0000, 0.2679], [0.9993, 0.0000, 0.7321], [0.5000, 0.5000, 0.0000], [0.5000, 0.5000, 0.5000]],
  "de_polymorph_mev_per_atom": 33.4,
  "e_form_raw_kj_per_mol_fu": -385,
  "spacegroup": "P2/m",
  "magnetic_moment_mub_per_cell": 0.0,
  "mass_density_g_cm3": 4.97,
  "energy_ev_per_atom": -2.9395
}

***

[10]
{
  "formula": "SrCdSe2",
  "functional": "GGA-PBE",
  "state": "optimized geometry",
  "cell": [[-2.1863, 3.1980, 3.9137], [2.1863, -3.1980, 3.9137], [2.1863, 3.1980, -3.9137]],
  "species": ["Sr", "Cd", "Se", "Se"],
  "fractional_positions": [[0.0000, 0.0000, 0.0000], [0.5000, 0.5000, 0.0000], [0.2780, 0.7780, 0.5000], [0.7220, 0.2220, 0.5000]],
  "e_form_raw_kj_per_mol_fu": -396,
  "spacegroup": "Immm",
  "magnetic_moment_mub_per_cell": 0.0,
  "mass_density_g_cm3": 5.43,
  "energy_ev_per_atom": -3.4184
}

***

[11]
{
  "formula": "Sr2CdSe3",
  "functional": "GGA-PBE",
  "state": "optimized geometry",
  "cell": [[9.0780, 0.0000, 0.0000], [0.0000, 4.3648, 0.0000], [0.0000, 0.0000, 17.6107]],
  "species": ["Sr", "Sr", "Sr", "Sr", "Sr", "Sr", "Sr", "Sr", "Cd", "Cd", "Cd", "Cd", "Se", "Se", "Se", "Se", "Se", "Se", "Se", "Se", "Se", "Se", "Se", "Se"],
  "fractional_positions": [[0.0788, 0.2500, 0.2179], [0.2303, 0.2500, 0.9614], [0.2697, 0.7500, 0.4614], [0.4212, 0.7500, 0.7179], [0.5788, 0.2500, 0.2821], [0.7303, 0.2500, 0.5386], [0.7697, 0.7500, 0.0386], [0.9212, 0.7500, 0.7821], [0.1160, 0.2500, 0.6311], [0.3840, 0.7500, 0.1311], [0.6160, 0.2500, 0.8689], [0.8840, 0.7500, 0.3689], [0.0362, 0.2500, 0.4058], [0.1162, 0.7500, 0.0721], [0.1843, 0.2500, 0.7782], [0.3157, 0.7500, 0.2782], [0.3838, 0.2500, 0.5721], [0.4638, 0.7500, 0.9058], [0.5362, 0.2500, 0.0942], [0.6162, 0.7500, 0.4279], [0.6843, 0.2500, 0.7218], [0.8157, 0.7500, 0.2218], [0.8838, 0.2500, 0.9279], [0.9638, 0.7500, 0.5942]],
  "e_form_raw_kj_per_mol_fu": -879,
  "spacegroup": "Pnma",
  "magnetic_moment_mub_per_cell": 0.0,
  "mass_density_g_cm3": 4.99,
  "energy_ev_per_atom": -3.9729
}

***

[12]
{
  "formula": "Sr3CdSe4",
  "functional": "GGA-PBE",
  "state": "optimized geometry",
  "cell": [[10.3030, 0.0000, 0.0000], [0.0000, 8.8625, 0.0000], [0.0000, 0.0000, 6.2767]],
  "species": ["Sr", "Sr", "Sr", "Sr", "Sr", "Sr", "Cd", "Cd", "Se", "Se", "Se", "Se", "Se", "Se", "Se", "Se"],
  "fractional_positions": [[0.0000, 0.1486, 0.0000], [0.2446, 0.3305, 0.5008], [0.2554, 0.6695, 0.0008], [0.5000, 0.8514, 0.5000], [0.7446, 0.6695, 0.0008], [0.7554, 0.3305, 0.5008], [0.0000, 0.8230, 0.4421], [0.5000, 0.1770, 0.9421], [0.0000, 0.1342, 0.5014], [0.0000, 0.8166, 0.0045], [0.2366, 0.6785, 0.5023], [0.2634, 0.3215, 0.0023], [0.5000, 0.1834, 0.5045], [0.5000, 0.8658, 0.0014], [0.7366, 0.3215, 0.0023], [0.7634, 0.6785, 0.5023]],
  "e_form_raw_kj_per_mol_fu": -1210,
  "spacegroup": "Pmn2_1",
  "magnetic_moment_mub_per_cell": 0.0,
  "mass_density_g_cm3": 4.00,
  "energy_ev_per_atom": -4.0545
}